The following is a PBE-GGA calculation of an optimized crystal structure of MnBr2Cl, from Alexandria via LeMat-Bulk.

abc: 6.822 6.822 6.673
angles: 59.26 59.26 90.00
Fractional coordinates of all 8 atoms:
Mn  0.000  0.000  0.000
Mn  0.750  0.250  0.500
Br  0.729  0.125  0.250
Br  0.021  0.625  0.250
Br  0.375  0.271  0.750
Br  0.875  0.979  0.750
Cl  0.500  0.500  0.000
Cl  0.250  0.750  0.500

ΔE_f (raw) ... 0.105 eV per atom
Volume ... 214.6 Å³ per cell